# 1
First-principles (PBE-GGA) data for a geometry-optimized HfInB2N structure, as listed in Alexandria via LeMat-Bulk.

The structure belongs to space group P4/mmm (No. 123); the cell edges are 3.922, 3.922 and 5.970 Å and the angles 90.00°, 90.00° and 90.00°. The inequivalent atoms are Hf at (0.000, 0.000, 0.000), In at (0.000, 0.000, 0.500), B at (0.000, 0.500, 0.500) and N at (0.500, 0.500, 0.000).

The calculation puts the uncorrected formation energy at 226.99 kJ per mole of atoms.

***

# 2
First-principles (PBE-GGA) data for a geometry-optimized TmZr2Re9 structure, as listed in Alexandria via LeMat-Bulk.

The structure belongs to space group R-3m (No. 166, hexagonal axes); the cell edges are 5.2769, 5.2769 and 26.3355 Å and the angles 90.00°, 90.00° and 120.00°. The inequivalent atoms are Tm at (0.0000, 0.0000, 0.0000), Zr at (0.0000, 0.0000, 0.1429), Re at (0.0000, 0.0000, 0.3355), Re at (0.0000, 0.0000, 0.5000) and Re at (0.0078, 0.5039, 0.9146).

The calculation puts the formation energy from the elements at -0.16 eV per atom.

***

| no. | N(E_F) (states/eV/atom) | volume (Å³/cell) |
| --- | --- | --- |
| 1 | 0.833 | 91.8 |
| 2 | 0.994 | 635.1 |